Below is a geometry-optimized TbNdTm structure, with properties calculated at the GGA-PBE level.

a b c (Å): 10.3345 10.3345 5.4296
angles (deg): 90.00 90.00 160.36
Fractional coordinates of all 6 atoms:
Tb 0.1129 0.8871 0.7500
Tb 0.8871 0.1129 0.2500
Nd 0.2940 0.7060 0.7500
Nd 0.7060 0.2940 0.2500
Tm 0.4595 0.5405 0.7500
Tm 0.5405 0.4595 0.2500

=====

Below is a geometry-optimized Tb7NdTm2 structure, with properties calculated at the GGA-PBE level.

a b c (Å): 9.4690 9.4690 5.4493
angles (deg): 106.68 106.68 43.52
Fractional coordinates of all 10 atoms:
Tb 0.0000 0.0000 0.0000
Tb 0.1374 0.6418 0.3892
Tb 0.2997 0.2997 0.7996
Tb 0.3582 0.8626 0.6108
Tb 0.6418 0.1374 0.3892
Tb 0.7003 0.7003 0.2004
Tb 0.8626 0.3582 0.6108
Nd 0.5000 0.5000 0.0000
Tm 0.1993 0.1993 0.1996
Tm 0.8007 0.8007 0.8004

=====

Below is a geometry-optimized TbNdTm2 structure, with properties calculated at the GGA-PBE level.

a b c (Å): 5.0425 5.0425 4.9912
angles (deg): 90.00 90.00 90.00
Fractional coordinates of all 4 atoms:
Tb 0.0000 0.0000 0.0000
Nd 0.5000 0.5000 0.0000
Tm 0.0000 0.5000 0.5000
Tm 0.5000 0.0000 0.5000

=====

Below is a geometry-optimized Tb12NdTm7 structure, with properties calculated at the GGA-PBE level.

a b c (Å): 8.6919 8.6919 8.6919
angles (deg): 86.63 86.63 86.63
Fractional coordinates of all 20 atoms:
Tb 0.1024 0.3454 0.4283
Tb 0.2302 0.7586 0.3515
Tb 0.2414 0.6485 0.7698
Tb 0.3454 0.4283 0.1024
Tb 0.3515 0.2302 0.7586
Tb 0.4283 0.1024 0.3454
Tb 0.5717 0.8976 0.6546
Tb 0.6485 0.7698 0.2414
Tb 0.6546 0.5717 0.8976
Tb 0.7586 0.3515 0.2302
Tb 0.7698 0.2414 0.6485
Tb 0.8976 0.6546 0.5717
Nd 0.0000 0.0000 0.0000
Tm 0.0033 0.3685 0.8777
Tm 0.1223 0.9967 0.6315
Tm 0.3685 0.8777 0.0033
Tm 0.5000 0.5000 0.5000
Tm 0.6315 0.1223 0.9967
Tm 0.8777 0.0033 0.3685
Tm 0.9967 0.6315 0.1223

=====

Below is a geometry-optimized TbNd2Tm structure, with properties calculated at the GGA-PBE level.

a b c (Å): 5.7336 5.7336 5.7336
angles (deg): 60.00 60.00 60.00
Fractional coordinates of all 4 atoms:
Tb 0.0000 0.0000 0.0000
Nd 0.2500 0.2500 0.2500
Nd 0.7500 0.7500 0.7500
Tm 0.5000 0.5000 0.5000

=====

Below is a geometry-optimized TbNdTm structure, with properties calculated at the GGA-PBE level.

a b c (Å): 8.1998 8.1998 3.4386
angles (deg): 90.00 90.00 90.52
Fractional coordinates of all 6 atoms:
Tb 0.2385 0.2385 0.0000
Tb 0.7615 0.7615 0.0000
Nd 0.2603 0.7397 0.5000
Nd 0.7397 0.2603 0.5000
Tm 0.0000 0.0000 0.5000
Tm 0.5000 0.5000 0.0000

=====

Below is a geometry-optimized TbNd2Tm5 structure, with properties calculated at the GGA-PBE level.

a b c (Å): 9.4328 9.4328 6.5019
angles (deg): 97.46 97.46 62.72
Fractional coordinates of all 16 atoms:
Tb 0.0000 0.5000 0.0000
Tb 0.5000 0.0000 0.5000
Nd 0.1666 0.6763 0.8836
Nd 0.3237 0.8334 0.6164
Nd 0.6763 0.1666 0.3836
Nd 0.8334 0.3237 0.1164
Tm 0.0113 0.1901 0.6473
Tm 0.1901 0.0113 0.1473
Tm 0.2149 0.3906 0.4753
Tm 0.3906 0.2149 0.9753
Tm 0.4415 0.5585 0.2500
Tm 0.5585 0.4415 0.7500
Tm 0.6094 0.7851 0.0247
Tm 0.7851 0.6094 0.5247
Tm 0.8099 0.9887 0.8527
Tm 0.9887 0.8099 0.3527

=====

Below is a geometry-optimized TbNd7Tm12 structure, with properties calculated at the GGA-PBE level.

a b c (Å): 8.7408 8.7408 8.7408
angles (deg): 85.89 85.89 85.89
Fractional coordinates of all 20 atoms:
Tb 0.0000 0.0000 0.0000
Nd 0.0770 0.1569 0.3984
Nd 0.1569 0.3984 0.0770
Nd 0.3984 0.0770 0.1569
Nd 0.5000 0.5000 0.5000
Nd 0.6016 0.9230 0.8431
Nd 0.8431 0.6016 0.9230
Nd 0.9230 0.8431 0.6016
Tm 0.1351 0.4972 0.6179
Tm 0.1448 0.7445 0.2728
Tm 0.2555 0.7272 0.8552
Tm 0.2728 0.1448 0.7445
Tm 0.3821 0.8649 0.5028
Tm 0.4972 0.6179 0.1351
Tm 0.5028 0.3821 0.8649
Tm 0.6179 0.1351 0.4972
Tm 0.7272 0.8552 0.2555
Tm 0.7445 0.2728 0.1448
Tm 0.8552 0.2555 0.7272
Tm 0.8649 0.5028 0.3821

=====

Below is a geometry-optimized Tb5Nd2Tm12 structure, with properties calculated at the GGA-PBE level.

a b c (Å): 9.0623 9.0623 8.4573
angles (deg): 91.32 91.32 60.83
Fractional coordinates of all 19 atoms:
Tb 0.0000 0.0000 0.0000
Tb 0.2326 0.2326 0.0762
Tb 0.3010 0.3010 0.4909
Tb 0.6990 0.6990 0.5091
Tb 0.7674 0.7674 0.9238
Nd 0.3154 0.6846 0.5000
Nd 0.6846 0.3154 0.5000
Tm 0.0249 0.6647 0.2541
Tm 0.0909 0.0909 0.3818
Tm 0.1819 0.5636 0.8464
Tm 0.3353 0.9751 0.7459
Tm 0.4364 0.8181 0.1536
Tm 0.4438 0.4438 0.1706
Tm 0.5562 0.5562 0.8294
Tm 0.5636 0.1819 0.8464
Tm 0.6647 0.0249 0.2541
Tm 0.8181 0.4364 0.1536
Tm 0.9091 0.9091 0.6182
Tm 0.9751 0.3353 0.7459

=====

Below is a geometry-optimized TbNd4Tm7 structure, with properties calculated at the GGA-PBE level.

a b c (Å): 7.0901 7.9100 7.9624
angles (deg): 72.89 77.48 63.83
Fractional coordinates of all 12 atoms:
Tb 0.0000 0.0000 0.0000
Nd 0.1654 0.3350 0.6683
Nd 0.4176 0.8311 0.6678
Nd 0.5824 0.1689 0.3322
Nd 0.8346 0.6650 0.3317
Tm 0.0840 0.1653 0.3321
Tm 0.2502 0.4990 0.0014
Tm 0.3330 0.6691 0.3306
Tm 0.5000 0.0000 0.0000
Tm 0.6670 0.3309 0.6694
Tm 0.7498 0.5010 0.9986
Tm 0.9160 0.8347 0.6679

=====

Below is a geometry-optimized TbNdTm structure, with properties calculated at the GGA-PBE level.

a b c (Å): 5.6710 5.6710 3.4790
angles (deg): 90.00 90.00 120.00
Fractional coordinates of all 3 atoms:
Tb 0.0000 0.0000 0.0000
Nd 0.6667 0.3333 0.5000
Tm 0.3333 0.6667 0.0000

=====

Below is a geometry-optimized Tb7NdTm3 structure, with properties calculated at the GGA-PBE level.

a b c (Å): 7.0633 7.0633 8.5682
angles (deg): 90.00 90.00 120.00
Fractional coordinates of all 11 atoms:
Tb 0.0000 0.0000 0.0000
Tb 0.0026 0.5013 0.0067
Tb 0.3305 0.1653 0.6683
Tb 0.4987 0.5013 0.0067
Tb 0.4987 0.9974 0.0067
Tb 0.8347 0.1653 0.6683
Tb 0.8347 0.6695 0.6683
Nd 0.3333 0.6667 0.6757
Tm 0.1661 0.3322 0.3359
Tm 0.1661 0.8339 0.3359
Tm 0.6678 0.8339 0.3359

=====

Below is a geometry-optimized Tb4Nd2Tm structure, with properties calculated at the GGA-PBE level.

a b c (Å): 9.3701 9.3701 9.3701
angles (deg): 145.31 145.31 49.87
Fractional coordinates of all 7 atoms:
Tb 0.0000 0.5000 0.5000
Tb 0.1138 0.1138 0.0000
Tb 0.5000 0.0000 0.5000
Tb 0.8862 0.8862 0.0000
Nd 0.3181 0.3181 0.0000
Nd 0.6819 0.6819 0.0000
Tm 0.5000 0.5000 0.0000

=====

Below is a geometry-optimized Tb2Nd5Tm structure, with properties calculated at the GGA-PBE level.

a b c (Å): 7.2467 14.5109 5.1301
angles (deg): 90.00 90.00 90.00
Fractional coordinates of all 16 atoms:
Tb 0.2498 0.1238 0.0000
Tb 0.2502 0.6238 0.0000
Tb 0.7498 0.3762 0.0000
Tb 0.7502 0.8762 0.0000
Nd 0.0000 0.0000 0.5000
Nd 0.0010 0.7482 0.5000
Nd 0.2482 0.3763 0.0000
Nd 0.2518 0.8763 0.0000
Nd 0.4990 0.2482 0.5000
Nd 0.5000 0.5000 0.5000
Nd 0.5010 0.7518 0.5000
Nd 0.7482 0.1237 0.0000
Nd 0.7518 0.6237 0.0000
Nd 0.9990 0.2518 0.5000
Tm 0.0000 0.5000 0.5000
Tm 0.5000 0.0000 0.5000

=====

Below is a geometry-optimized Tb2Nd3Tm3 structure, with properties calculated at the GGA-PBE level.

a b c (Å): 10.7505 10.7505 10.7505
angles (deg): 152.90 152.71 38.85
Fractional coordinates of all 8 atoms:
Tb 0.2493 0.2493 0.0000
Tb 0.7507 0.7507 0.0000
Nd 0.0000 0.0000 0.0000
Nd 0.3757 0.8757 0.5000
Nd 0.6243 0.1243 0.5000
Tm 0.1259 0.6259 0.5000
Tm 0.5000 0.5000 0.0000
Tm 0.8741 0.3741 0.5000

=====

Below is a geometry-optimized Tb5NdTm2 structure, with properties calculated at the GGA-PBE level.

a b c (Å): 7.1195 14.2409 5.0170
angles (deg): 90.00 90.00 90.00
Fractional coordinates of all 16 atoms:
Tb 0.0000 0.0000 0.0000
Tb 0.0014 0.2491 0.0000
Tb 0.2483 0.8741 0.5000
Tb 0.2517 0.3741 0.5000
Tb 0.4986 0.7491 0.0000
Tb 0.5000 0.5000 0.0000
Tb 0.5014 0.2509 0.0000
Tb 0.7483 0.6259 0.5000
Tb 0.7517 0.1259 0.5000
Tb 0.9986 0.7509 0.0000
Nd 0.0000 0.5000 0.0000
Nd 0.5000 0.0000 0.0000
Tm 0.2503 0.1256 0.5000
Tm 0.2497 0.6256 0.5000
Tm 0.7503 0.3744 0.5000
Tm 0.7497 0.8744 0.5000

=====

Below is a geometry-optimized Tb7Nd3Tm structure, with properties calculated at the GGA-PBE level.

a b c (Å): 6.9737 5.5577 10.0222
angles (deg): 90.00 109.09 90.00
Fractional coordinates of all 11 atoms:
Tb 0.0000 0.0000 0.0000
Tb 0.1484 0.5000 0.2893
Tb 0.3225 0.5000 0.6355
Tb 0.4251 0.0000 0.8287
Tb 0.5749 0.0000 0.1713
Tb 0.6775 0.5000 0.3645
Tb 0.8516 0.5000 0.7107
Nd 0.0000 0.0000 0.5000
Nd 0.2798 0.5000 0.9957
Nd 0.7202 0.5000 0.0043
Tm 0.5000 0.0000 0.5000

=====

Below is a geometry-optimized TbNd2Tm structure, with properties calculated at the GGA-PBE level.

a b c (Å): 11.8500 11.8500 11.8500
angles (deg): 17.51 17.51 17.51
Fractional coordinates of all 4 atoms:
Tb 0.0000 0.0000 0.0000
Nd 0.2493 0.2493 0.2493
Nd 0.7507 0.7507 0.7507
Tm 0.5000 0.5000 0.5000

=====

Below is a geometry-optimized TbNd2Tm2 structure, with properties calculated at the GGA-PBE level.

a b c (Å): 8.1275 8.1275 6.0504
angles (deg): 102.72 102.72 110.03
Fractional coordinates of all 10 atoms:
Tb 0.0638 0.9362 0.7500
Tb 0.9362 0.0638 0.2500
Nd 0.2377 0.3935 0.1308
Nd 0.3935 0.2377 0.6308
Nd 0.6065 0.7623 0.3692
Nd 0.7623 0.6065 0.8692
Tm 0.1956 0.8044 0.2500
Tm 0.3302 0.6698 0.7500
Tm 0.6698 0.3302 0.2500
Tm 0.8044 0.1956 0.7500

=====

Below is a geometry-optimized Tb4Nd7Tm structure, with properties calculated at the GGA-PBE level.

a b c (Å): 8.6647 8.6647 9.4088
angles (deg): 114.21 114.21 40.61
Fractional coordinates of all 12 atoms:
Tb 0.0721 0.0721 0.1972
Tb 0.1729 0.1729 0.8898
Tb 0.8271 0.8271 0.1102
Tb 0.9279 0.9279 0.8028
Nd 0.0000 0.0000 0.5000
Nd 0.2909 0.2909 0.6212
Nd 0.2919 0.2919 0.2717
Nd 0.4174 0.4174 0.0588
Nd 0.5826 0.5826 0.9412
Nd 0.7081 0.7081 0.7283
Nd 0.7091 0.7091 0.3788
Tm 0.5000 0.5000 0.5000

=====

Calculated total energy in order - -4.585; -4.569; -4.561; -4.343; -4.549; -3.972; -4.390; -4.353; -4.413; -4.560; -4.551; -4.403; -4.011; -4.679; -4.600; -4.590; -4.515; -4.645; -4.335; -4.479 eV per atom
Calculated energy relative to the lowest polymorph listed for this composition in order - 20; 0; 21; 0; 97; 634; 151; 0; 67; 0; 55; 59; 529; 0; 0; 0; 0; 0; 278; 210 meV per atom